Here is a geometry-optimized Ba2Mn2Ir structure from Alexandria via LeMat-Bulk. Energies are from PBE-GGA.

Properties
- V: 303.7 Å³ per cell
- Total DFT energy (no corrections): -5.087 eV/atom
- Offset from the most stable computed form: 553 meV per atom
- ΔH_f (0 K): 1.12 eV/atom

abc: 8.746 8.746 3.971
angles: 90.00 90.00 90.00
Space group P4/mbm (No. 127)
Inequivalent atoms, fractional coordinates:
Ba: 0.192 0.308 0.000
Mn: 0.103 0.603 0.500
Ir: 0.000 0.000 0.000